VASP calculation (GGA-PBE) on an optimized crystal structure of PuNCl.

abc: 3.324 3.430 11.000
angles: 89.91 106.69 90.00
Last column: magnetic moment on the atom in μB.
Element x y z (fractional)
Pu 0.691 0.072 0.424  4.36
Pu 0.945 0.573 0.165  4.36
Cl 0.385 0.071 0.627  -0.10
Cl 0.252 0.575 0.961  -0.10
N 0.146 0.572 0.376  -0.30
N 0.490 0.073 0.212  -0.30

Its volume is 20.0 Å³/atom. The calculation puts the total magnetization at 4.00 μB/f.u. The value obtained for the uncorrected formation energy is -1347 meV per atom. For the electronic total energy, the calculation gives -57.1 eV per cell. Its density of states at the Fermi level is 5.88 states/eV/f.u.